Mn3IrF | GGA+U | relaxed

Cell: 5.010 5.010 5.010 Å, 90.00 90.00 90.00°
Space group Pm-3m (No. 221)
Unique sites:
Mn1 0.000 0.000 0.500 (multiplicity 3)
Ir1 0.000 0.000 0.000 (multiplicity 1)
F1 0.500 0.500 0.500 (multiplicity 1)

Computed properties:
The distance to the lowest polymorph of the same formula is 231 kJ/mol of formula units. The value obtained for the calculated total energy is -6.31 eV/atom.